Computed, not measured: a geometry-optimized TlP2PbBrO structure at the PBE-GGA level of DFT.

abc: 4.7903 3.5894 8.8323
angles: 90.00 90.63 90.00
Space group Pm (No. 6)
Unique sites:
Tl 0.0000 0.0000 0.0000 x1
P 0.3895 0.0000 0.7173 x1
P 0.6912 0.5000 0.7232 x1
Pb 0.0920 0.0000 0.4365 x1
Br 0.4685 0.5000 0.2118 x1
O 0.8375 0.5000 0.5595 x1

Output
crystal system: monoclinic
total DFT energy (no corrections): -27.1 eV per formula unit
energy above the lowest structure with this stoichiometry: 0.05 eV/f.u.
formation energy from raw total energies: -3.54 eV per formula unit